[1]
## TaAgGeO5 (PBE)

Data for crystalline TaAgGeO5 at its relaxed geometry.

a b c (Å): 5.764 5.764 7.598
angles (deg): 105.71 105.71 103.51
Atoms (fractional coordinates):
Ta: 0.000 0.000 0.500
Ta: 0.000 0.000 0.000
Ag: 0.325 0.675 0.250
Ag: 0.675 0.325 0.750
Ge: 0.680 0.320 0.250
Ge: 0.320 0.680 0.750
O: 0.059 0.941 0.250
O: 0.941 0.059 0.750
O: 0.875 0.289 0.106
O: 0.125 0.711 0.894
O: 0.711 0.125 0.394
O: 0.289 0.875 0.606
O: 0.759 0.642 0.400
O: 0.241 0.358 0.600
O: 0.358 0.241 0.100
O: 0.642 0.759 0.900

Calculated values
Formation energy without anion corrections (eV/atom): -1.87
Density of states at the Fermi level (states/eV/atom): 0.000

[2]
## TaAgGeO6 (PBE)

Data for crystalline TaAgGeO6 at its relaxed geometry.

a b c (Å): 4.759 4.759 9.304
angles (deg): 90.00 90.00 90.00
Site moments in Bohr magnetons follow the coordinates.
Atoms (fractional coordinates):
Ta: 0.500 0.500 0.174  -0.01
Ta: 0.000 0.000 0.674  -0.01
Ag: 0.500 0.500 0.500  0.40
Ag: 0.000 0.000 0.000  0.40
Ge: 0.500 0.500 0.832  0.00
Ge: 0.000 0.000 0.332  0.00
O: 0.173 0.827 0.495  0.04
O: 0.827 0.173 0.495  0.04
O: 0.327 0.327 0.995  0.04
O: 0.673 0.673 0.995  0.04
O: 0.200 0.800 0.187  0.16
O: 0.800 0.200 0.187  0.16
O: 0.300 0.300 0.687  0.16
O: 0.700 0.700 0.687  0.16
O: 0.785 0.215 0.815  0.15
O: 0.215 0.785 0.815  0.15
O: 0.715 0.715 0.315  0.15
O: 0.285 0.285 0.315  0.15

Calculated values
Formation energy without anion corrections (eV/atom): -1.53
Density of states at the Fermi level (states/eV/atom): 0.303

[3]
## TbAg2GeO4 (PBE)

Data for crystalline TbAg2GeO4 at its relaxed geometry.

a b c (Å): 6.088 6.088 6.088
angles (deg): 75.50 128.70 128.70
Atoms (fractional coordinates):
Tb: 0.500 0.250 0.750
Ag: 0.500 0.750 0.250
Ag: 0.000 0.000 0.000
Ge: 0.000 0.500 0.500
O: 0.616 0.392 0.445
O: 0.053 0.224 0.608
O: 0.947 0.555 0.171
O: 0.384 0.829 0.776

Calculated values
Formation energy without anion corrections (eV/atom): -1.50
Density of states at the Fermi level (states/eV/atom): 0.065

[4]
## TcAgGeO6 (PBE)

Data for crystalline TcAgGeO6 at its relaxed geometry.

a b c (Å): 5.119 5.119 9.882
angles (deg): 90.00 90.00 120.00
Atoms (fractional coordinates):
Tc: 0.333 0.667 0.250
Tc: 0.667 0.333 0.750
Ag: 0.000 0.000 0.000
Ag: 0.000 0.000 0.500
Ge: 0.667 0.333 0.250
Ge: 0.333 0.667 0.750
O: 0.619 0.620 0.143
O: 0.001 0.381 0.143
O: 0.381 0.001 0.643
O: 0.999 0.619 0.857
O: 0.380 0.381 0.357
O: 0.001 0.620 0.357
O: 0.620 0.001 0.857
O: 0.619 0.999 0.357
O: 0.999 0.380 0.643
O: 0.380 0.999 0.143
O: 0.620 0.619 0.643
O: 0.381 0.380 0.857

Calculated values
Formation energy without anion corrections (eV/atom): -1.06
Density of states at the Fermi level (states/eV/atom): 0.241